(1)
This record from Alexandria describes SmTm3Al after structural relaxation. The functional is GGA-PBE.

abc: 3.562 6.666 12.382
angles: 85.41 90.00 74.51
Element x y z (fractional)
Tm  0.366  0.270  0.017
Al  0.453  0.095  0.380
Tm  0.859  0.282  0.549
Tm  0.969  0.062  0.806
Sm  0.774  0.452  0.252
Tm  0.031  0.938  0.194
Sm  0.226  0.548  0.748
Tm  0.634  0.730  0.983
Al  0.547  0.905  0.620
Tm  0.141  0.718  0.451

Values from the calculation:
Total magnetic moment   0.4 μB/f.u.
Energy above the most stable polymorph in this dataset   0.0 meV/atom
SG   No. 12
Formation energy from the elements   -0.14 eV/atom

=====

(2)
This record from Alexandria describes Sm3Tm12Al after structural relaxation. The functional is GGA-PBE.

abc: 4.899 4.899 19.790
angles: 90.00 90.00 90.00
Element x y z (fractional)
Tm  0.500  0.500  0.759
Tm  0.500  0.000  0.628
Tm  0.000  0.500  0.884
Sm  0.000  0.000  0.754
Tm  0.500  0.500  0.000
Tm  0.000  0.500  0.628
Tm  0.000  0.500  0.116
Al  0.000  0.000  0.000
Tm  0.500  0.000  0.884
Tm  0.500  0.000  0.372
Sm  0.000  0.000  0.246
Sm  0.000  0.000  0.500
Tm  0.500  0.000  0.116
Tm  0.000  0.500  0.372
Tm  0.500  0.500  0.241
Tm  0.500  0.500  0.500

Values from the calculation:
Total magnetic moment   0.0 μB/f.u.
SG   No. 123
Formation energy from the elements   -0.01 eV/atom

=====

(3)
This record from Alexandria describes Sm2Tm2Al3 after structural relaxation. The functional is GGA-PBE.

abc: 3.561 3.543 14.269
angles: 90.00 82.83 90.00
Element x y z (fractional)
Sm  0.691  0.500  0.618
Sm  0.309  0.500  0.382
Al  0.125  0.000  0.750
Al  0.875  0.000  0.250
Tm  0.562  0.500  0.876
Tm  0.438  0.500  0.124
Al  0.000  0.000  0.000

Values from the calculation:
Total magnetic moment   0.0 μB/f.u.
SG   No. 65
Formation energy from the elements   -0.29 eV/atom

=====

no.,DFT total energy (eV per atom)
1,-4.52
2,-4.49
3,-4.52